# Dy2Ho5

A relaxed Dy2Ho5 crystal (PBE, the Alexandria database).

The energy of formation from the pure elements comes out at 0.0031 eV per atom. Its total magnetization is 0.0 μB per formula unit. For the total energy, the calculation gives -4.58 eV per atom. As for the distance to the lowest polymorph of the same formula: 0 meV/atom.

a b c (Å): 15.5447 6.2311 9.1202
angles (deg): 90.00 96.13 90.00
Closest atoms and distances in Å follow each position.
Space group C2/c (No. 15)
Asymmetric unit:
Dy 0.0716 0.1670 0.1072  10 Ho 3.48-3.60, 2 Dy 3.49-3.60
Ho 0.0000 0.3334 0.7500  6 Ho 3.48-3.60, 6 Dy 3.49-3.60
Ho 0.1431 0.3337 0.4643  8 Ho 3.48-3.60, 4 Dy 3.49-3.60
Ho 0.2143 0.1666 0.8215  9 Ho 3.48-3.60, 3 Dy 3.48-3.60